VASP calculation (PBE) on an optimized crystal structure of ZnCr2Hg.

Cell and atoms, written as POSCAR:
```
ZnCr2Hg
1.0
3.024 0.951 3.285
-0.329 3.903 2.345
-1.289 -0.069 4.378
Cr Zn Hg
2 1 1
Direct
0.250 0.250 0.250
0.750 0.750 0.750
0.000 0.000 0.000
0.500 0.500 0.500
```

Uncorrected energy in eV per atom: -4.76
Symmetry: No. 225
Crystal system: cubic
Distance to the lowest polymorph of the same formula in meV per atom: 199
Formation enthalpy at 0 K in eV/atom: 0.449